[1]
DFT (PBE) results for a relaxed DyYZr2Bi2 crystal.

DFT total energy   -6.609 eV/atom

Cell lengths 4.327, 4.327, 16.908 Å; angles 90.00, 90.00, 90.00 degrees
Positions (direct):
Dy 0.000 0.000 0.000
Dy 0.500 0.500 0.500
Y 0.000 0.000 0.648
Y 0.500 0.500 0.148
Zr 0.000 0.500 0.324
Zr 0.000 0.500 0.824
Zr 0.500 0.000 0.324
Zr 0.500 0.000 0.824
Bi 0.000 0.000 0.189
Bi 0.000 0.000 0.459
Bi 0.500 0.500 0.689
Bi 0.500 0.500 0.959



[2]
DFT (PBE) results for a relaxed SrCdFeTe3 crystal.

Polymorph energy (0 for the lowest one)   84 meV per atom

Cell lengths 7.616, 7.616, 11.122 Å; angles 90.00, 90.00, 146.91 degrees
Positions (direct):
Sr 0.228 0.772 0.750
Sr 0.772 0.228 0.250
Cd 0.475 0.525 0.250
Cd 0.525 0.475 0.750
Fe 0.000 0.000 0.000
Fe 0.000 0.000 0.500
Te 0.096 0.904 0.250
Te 0.368 0.632 0.043
Te 0.368 0.632 0.457
Te 0.632 0.368 0.543
Te 0.632 0.368 0.957
Te 0.904 0.096 0.750



[3]
DFT (PBE) results for a relaxed RbGe2IrPt crystal.

DFT total energy   -5.430 eV/atom

Cell lengths 4.081, 4.081, 14.319 Å; angles 90.00, 90.00, 90.00 degrees
Positions (direct):
Rb 0.000 0.000 0.000
Rb 0.500 0.500 0.500
Ge 0.000 0.000 0.351
Ge 0.000 0.000 0.649
Ge 0.500 0.500 0.149
Ge 0.500 0.500 0.851
Ir 0.000 0.500 0.250
Ir 0.500 0.000 0.750
Pt 0.000 0.500 0.750
Pt 0.500 0.000 0.250



[4]
DFT (PBE) results for a relaxed Lu6GaCo2 crystal.

DFT total energy   -5.269 eV/atom

Cell lengths 8.076, 8.076, 8.076 Å; angles 111.46, 110.47, 106.53 degrees
Positions (direct):
Lu 0.034 0.236 0.798
Lu 0.184 0.282 0.466
Lu 0.184 0.718 0.902
Lu 0.320 0.016 0.696
Lu 0.320 0.624 0.304
Lu 0.437 0.236 0.202
Lu 0.563 0.764 0.798
Lu 0.680 0.376 0.696
Lu 0.680 0.984 0.304
Lu 0.816 0.282 0.098
Lu 0.816 0.718 0.534
Lu 0.966 0.764 0.202
Ga 0.000 0.000 0.000
Ga 0.500 0.500 0.000
Co 0.116 0.616 0.500
Co 0.366 0.000 0.366
Co 0.634 0.000 0.634
Co 0.884 0.384 0.500